The following is a DFT calculation (PBE-GGA) of RbPIr after structural relaxation.

Calculated values
As for the space group: P2_13, No. 198. Its formation energy is -215 meV per atom. The final energy comes out at -5.2949 eV/atom.

```
12
Lattice="6.5642 0.0000 0.0000 0.0000 6.5642 0.0000 0.0000 0.0000 6.5642" Properties=species:S:1:pos:R:3 pbc="T T T"
Rb 0.8008 0.8008 0.8008
Rb 2.4813 5.7634 4.0829
Rb 4.0829 2.4813 5.7634
Rb 5.7634 4.0829 2.4813
P 0.6701 3.9522 5.8941
P 2.6120 2.6120 2.6120
P 3.9522 5.8941 0.6701
P 5.8941 0.6701 3.9522
Ir 0.9640 2.3181 4.2461
Ir 2.3181 4.2461 0.9640
Ir 4.2461 0.9640 2.3181
Ir 5.6002 5.6002 5.6002
```


The following is a DFT calculation (PBE-GGA) of Rb3PIr after structural relaxation.

Calculated values
As for the space group: Pm-3m, No. 221. Its formation energy is 952 meV per atom. The final energy comes out at -2.4830 eV/atom.

```
5
Lattice="6.2643 0.0000 0.0000 0.0000 6.2643 0.0000 0.0000 0.0000 6.2643" Properties=species:S:1:pos:R:3 pbc="T T T"
Rb 0.0000 0.0000 3.1321
Rb 0.0000 3.1321 0.0000
Rb 3.1321 0.0000 0.0000
P 3.1321 3.1321 3.1321
Ir 0.0000 0.0000 0.0000
```


The following is a DFT calculation (PBE-GGA) of RbP3Ir after structural relaxation.

Calculated values
As for the space group: Pm-3m, No. 221. Its formation energy is 488 meV per atom. The final energy comes out at -4.7238 eV/atom.

```
5
Lattice="4.8238 0.0000 0.0000 0.0000 4.8238 0.0000 0.0000 0.0000 4.8238" Properties=species:S:1:pos:R:3 pbc="T T T"
Rb 0.0000 0.0000 0.0000
P 0.0000 2.4119 2.4119
P 2.4119 0.0000 2.4119
P 2.4119 2.4119 0.0000
Ir 2.4119 2.4119 2.4119
```


Repeat the second record exactly.
The following is a DFT calculation (PBE-GGA) of Rb3PIr after structural relaxation.

Calculated values
As for the space group: Pm-3m, No. 221. Its formation energy is 952 meV per atom. The final energy comes out at -2.4830 eV/atom.

```
5
Lattice="6.2643 0.0000 0.0000 0.0000 6.2643 0.0000 0.0000 0.0000 6.2643" Properties=species:S:1:pos:R:3 pbc="T T T"
Rb 0.0000 0.0000 3.1321
Rb 0.0000 3.1321 0.0000
Rb 3.1321 0.0000 0.0000
P 3.1321 3.1321 3.1321
Ir 0.0000 0.0000 0.0000
```


Question: Which of these has the lowest final energy?
Answer: RbPIr


Question: The lowest final energy belongs to which entry?
Answer: RbPIr